(1)
The following is a DFT calculation (GGA-PBE) of a geometry-optimized AcTb6Er3 structure.

Space group: R32, No. 155
E (eV/atom): -4.255
Energy of formation from the pure elements (eV/atom): 0.30
Size of the total moment (μB/f.u.): 0.00

abc: 6.970 6.970 6.970
angles: 89.66 89.66 89.66
Positions (direct):
Ac 0.000 0.000 0.000
Tb 0.000 0.347 0.653
Tb 0.164 0.836 0.500
Tb 0.347 0.653 0.000
Tb 0.500 0.164 0.836
Tb 0.653 0.000 0.347
Tb 0.836 0.500 0.164
Er 0.261 0.261 0.261
Er 0.500 0.500 0.500
Er 0.739 0.739 0.739

***

(2)
The following is a DFT calculation (GGA-PBE) of a geometry-optimized BeNi structure.

Space group: P2_12_12_1, No. 19
E (eV/atom): -5.062
Energy of formation from the pure elements (eV/atom): -0.31
Size of the total moment (μB/f.u.): 0.00

abc: 4.079 4.704 7.688
angles: 90.00 90.00 90.00
Positions (direct):
Be 0.008 0.116 0.261
Be 0.167 0.893 0.509
Be 0.333 0.107 0.009
Be 0.492 0.884 0.761
Be 0.508 0.384 0.739
Be 0.667 0.607 0.491
Be 0.833 0.393 0.991
Be 0.992 0.616 0.239
Ni 0.042 0.165 0.764
Ni 0.170 0.404 0.480
Ni 0.330 0.596 0.980
Ni 0.458 0.835 0.264
Ni 0.542 0.335 0.236
Ni 0.670 0.096 0.520
Ni 0.830 0.904 0.020
Ni 0.958 0.665 0.736

***

(3)
The following is a DFT calculation (GGA-PBE) of a geometry-optimized BeFe2Pt structure.

Space group: Cmmm, No. 65
E (eV/atom): -6.782
Energy of formation from the pure elements (eV/atom): -0.11
Size of the total moment (μB/f.u.): 5.07

abc: 4.552 4.552 2.612
angles: 90.00 90.00 115.12
Positions (direct):
Be 0.000 0.000 0.000
Fe 0.000 0.500 0.500
Fe 0.500 0.000 0.500
Pt 0.500 0.500 0.000

***

(4)
The following is a DFT calculation (GGA-PBE) of a geometry-optimized RbPtCl structure.

Space group: P1, No. 1
E (eV/atom): -3.544
Size of the total moment (μB/f.u.): 0.13
Energy above the most stable polymorph in this dataset (meV per atom): 180.7

abc: 4.655 4.810 9.440
angles: 81.42 85.24 89.74
Positions (direct):
Rb 0.000 0.000 0.000
Rb 0.058 0.602 0.590
Pt 0.600 0.904 0.342
Pt 0.616 0.427 0.266
Cl 0.126 0.436 0.216
Cl 0.542 0.103 0.755